First-principles (GGA-PBE) data for an optimized crystal structure of TbGd2Sc, as listed in Alexandria via LeMat-Bulk.

- Energy above the lowest structure with this stoichiometry: 0.001 eV/atom
- Size of the total moment: 14.62 μB/f.u.
- Uncorrected energy: -38.9 eV for the cell shown
- Formation enthalpy at 0 K: 48 meV per atom
- Volume: 120.5 Å³/cell

a b c (Å): 3.531 3.531 9.664
angles (deg): 90.00 90.00 90.00
Space group P4/mmm (No. 123)
Symmetry-distinct sites (fractional):
Tb  0.000  0.000  0.000 (multiplicity 1)
Gd  0.500  0.500  0.263 (multiplicity 2)
Sc  0.000  0.000  0.500 (multiplicity 1)

=====

First-principles (GGA-PBE) data for an optimized crystal structure of TbGdSc, as listed in Alexandria via LeMat-Bulk.

- Energy above the lowest structure with this stoichiometry: 0.025 eV/atom
- Size of the total moment: 7.69 μB/f.u.
- Uncorrected energy: -24.8 eV for the cell shown
- Formation enthalpy at 0 K: 73 meV per atom
- Volume: 87.7 Å³/cell

a b c (Å): 5.4822 5.4822 3.3714
angles (deg): 90.00 90.00 120.00
Space group P-6m2 (No. 187)
Symmetry-distinct sites (fractional):
Tb  0.0000  0.0000  0.0000 (multiplicity 1)
Gd  0.3333  0.6667  0.5000 (multiplicity 1)
Sc  0.6667  0.3333  0.5000 (multiplicity 1)

=====

First-principles (GGA-PBE) data for an optimized crystal structure of TbGd2Sc, as listed in Alexandria via LeMat-Bulk.

- Energy above the lowest structure with this stoichiometry: 0.006 eV/atom
- Size of the total moment: 14.33 μB/f.u.
- Uncorrected energy: -116.7 eV for the cell shown
- Formation enthalpy at 0 K: 52 meV per atom
- Volume: 360.7 Å³/cell

a b c (Å): 3.5034 3.5034 33.9348
angles (deg): 90.00 90.00 120.00
Space group R-3m (No. 166, hexagonal axes)
Symmetry-distinct sites (fractional):
Tb  0.0000  0.0000  0.0000 (multiplicity 3)
Gd  0.0000  0.0000  0.2467 (multiplicity 6)
Sc  0.0000  0.0000  0.5000 (multiplicity 3)

=====

First-principles (GGA-PBE) data for an optimized crystal structure of TbGd2Sc, as listed in Alexandria via LeMat-Bulk.

- Energy above the lowest structure with this stoichiometry: 0.064 eV/atom
- Size of the total moment: 15.67 μB/f.u.
- Uncorrected energy: -154.7 eV for the cell shown
- Formation enthalpy at 0 K: 110 meV per atom
- Volume: 485.1 Å³/cell

a b c (Å): 7.858 7.858 7.858
angles (deg): 90.00 90.00 90.00
Space group Fm-3m (No. 225)
Symmetry-distinct sites (fractional):
Tb  0.000  0.000  0.000 (multiplicity 4)
Gd  0.250  0.250  0.250 (multiplicity 8)
Sc  0.000  0.000  0.500 (multiplicity 4)

=====

Number 1: density 7.1 Mg/m³. Number 2: density 6.8 Mg/m³. Number 3: density 7.2 Mg/m³. Number 4: density 7.1 Mg/m³.